[1]
Here is a relaxed structure of K2BaCaZr from the Alexandria database. Energies are from PBE.

Results
Fermi-level density of states, states/eV/atom: 1.45
Crystal system: tetragonal
Energy, eV per atom: -1.850

a b c (Å): 6.5663 6.5663 5.7726
angles (deg): 90.00 90.00 90.00
Space group P4/mmm (No. 123)
Unique sites:
K 0.0000 0.5000 0.0000
Ba 0.0000 0.0000 0.0000
Ca 0.5000 0.5000 0.5000
Zr 0.0000 0.0000 0.5000

=====

[2]
Here is a relaxed structure of Ba2CaLa from the Alexandria database. Energies are from PBE.

Results
Fermi-level density of states, states/eV/atom: 1.96
Crystal system: cubic
E above lowest polymorph, eV per formula unit: 0.26

a b c (Å): 9.2473 9.2473 9.2473
angles (deg): 90.00 90.00 90.00
Space group Fm-3m (No. 225)
Unique sites:
Ba 0.2500 0.2500 0.2500
Ca 0.0000 0.0000 0.0000
La 0.0000 0.0000 0.5000

=====

[3]
Here is a relaxed structure of Ba2CaLa from the Alexandria database. Energies are from PBE.

Results
Fermi-level density of states, states/eV/atom: 1.15
Crystal system: monoclinic
E above lowest polymorph, eV per formula unit: 0.17

a b c (Å): 3.9477 6.4394 7.8381
angles (deg): 90.00 102.02 90.00
Space group P2/m (No. 10)
Unique sites:
Ba 0.2403 0.0000 0.2470
Ca 0.0000 0.5000 0.5000
La 0.5000 0.5000 0.0000

=====

[4]
Here is a relaxed structure of Ba3CaLa from the Alexandria database. Energies are from PBE.

Results
Fermi-level density of states, states/eV/atom: 1.32
Crystal system: cubic
Energy, eV per atom: -2.065

a b c (Å): 6.5619 6.5619 6.5619
angles (deg): 90.00 90.00 90.00
Space group Pm-3m (No. 221)
Unique sites:
Ba 0.0000 0.0000 0.5000
Ca 0.5000 0.5000 0.5000
La 0.0000 0.0000 0.0000

=====

[5]
Here is a relaxed structure of BaCaLa2 from the Alexandria database. Energies are from PBE.

Results
Fermi-level density of states, states/eV/atom: 1.59
Crystal system: orthorhombic
E above lowest polymorph, eV per formula unit: 0.44

a b c (Å): 4.1523 6.4968 12.8150
angles (deg): 90.00 90.00 90.00
Space group Imm2 (No. 44)
Unique sites:
Ba 0.0000 0.0000 0.0000
Ca 0.0000 0.5000 0.7601
La 0.0000 0.0000 0.5066
La 0.0000 0.5000 0.2350

=====

[6]
Here is a relaxed structure of Ba2CaLa from the Alexandria database. Energies are from PBE.

Results
Fermi-level density of states, states/eV/atom: 1.98
Crystal system: monoclinic
E above lowest polymorph, eV per formula unit: 0.18

a b c (Å): 13.7541 4.0555 7.1443
angles (deg): 90.00 100.97 90.00
Space group Cm (No. 8)
Unique sites:
Ba 0.0000 0.0000 0.0000
Ba 0.2400 0.0000 0.7243
Ca 0.2548 0.5000 0.2500
La 0.4938 0.0000 0.4882

=====

[7]
Here is a relaxed structure of BaCaLa2 from the Alexandria database. Energies are from PBE.

Results
Fermi-level density of states, states/eV/atom: 1.54
Crystal system: trigonal
E above lowest polymorph, eV per formula unit: 0.30

a b c (Å): 3.8617 3.8617 39.2157
angles (deg): 90.00 90.00 120.00
Space group R-3m (No. 166, hexagonal axes)
Unique sites:
Ba 0.0000 0.0000 0.0000
Ca 0.0000 0.0000 0.5000
La 0.0000 0.0000 0.2462

=====

[8]
Here is a relaxed structure of BaCaLa2 from the Alexandria database. Energies are from PBE.

Results
Fermi-level density of states, states/eV/atom: 1.61
Crystal system: orthorhombic
E above lowest polymorph, eV per formula unit: 0.43

a b c (Å): 4.1872 6.2269 13.0881
angles (deg): 90.00 90.00 90.00
Space group Cmmm (No. 65)
Unique sites:
Ba 0.0000 0.0000 0.0000
Ca 0.0000 0.0000 0.5000
La 0.0000 0.5000 0.2621